{"formula": "CaTeP2", "functional": "GGA-PBE", "state": "optimized geometry", "lattice": [[2.9601, -4.0010, 0.0000], [2.9601, 4.0010, 0.0000], [-2.9142, 0.0000, 4.1511]], "species": ["Ca", "Te", "P", "P"], "frac_coords": [[0.0000, 0.0000, 0.0000], [0.5000, 0.5000, 0.0000], [0.0000, 0.5000, 0.5000], [0.5000, 0.0000, 0.5000]], "space_group": "C2/m, No. 12", "energy_ev_per_atom": -4.138, "vol_a3_per_cell": 98, "m_tot_mub_per_cell": 0.000}


{"formula": "CaTeP", "functional": "GGA-PBE", "state": "optimized geometry", "lattice": [[4.7956, 0.0000, 0.0000], [-2.3978, 4.1531, 0.0000], [0.0000, 0.0000, 3.8980]], "species": ["Ca", "Te", "P"], "frac_coords": [[0.0000, 0.0000, 0.0000], [0.3333, 0.6667, 0.5000], [0.6667, 0.3333, 0.5000]], "space_group": "P-6m2, No. 187", "energy_ev_per_atom": -3.917, "vol_a3_per_cell": 78, "m_tot_mub_per_cell": 0.000}


{"formula": "Ca2TeP", "functional": "GGA-PBE", "state": "optimized geometry", "lattice": [[3.4773, -3.8739, 0.0000], [3.4773, 3.8739, 0.0000], [-0.0159, 0.0000, 3.8396]], "species": ["Ca", "Ca", "Te", "P"], "frac_coords": [[0.0000, 0.5000, 0.0000], [0.5000, 0.0000, 0.0000], [0.0000, 0.0000, 0.5000], [0.5000, 0.5000, 0.5000]], "space_group": "C2/m, No. 12", "energy_ev_per_atom": -4.097, "vol_a3_per_cell": 103, "m_tot_mub_per_cell": 0.000, "polymorph_energy_ev_per_atom": 0.181}


{"formula": "CaTeP", "functional": "GGA-PBE", "state": "optimized geometry", "lattice": [[-1.9988, 1.9988, 5.5060], [1.9988, -1.9988, 5.5060], [1.9988, 1.9988, -5.5060]], "species": ["Ca", "Te", "P"], "frac_coords": [[0.0000, 0.0000, 0.0000], [0.6628, 0.6628, 0.0000], [0.4366, 0.4366, 0.0000]], "space_group": "I4mm, No. 107", "energy_ev_per_atom": -4.168, "vol_a3_per_cell": 88, "m_tot_mub_per_cell": 0.000}


{"formula": "CaTeP2", "functional": "GGA-PBE", "state": "optimized geometry", "lattice": [[0.0000, 3.5714, 3.5714], [3.5714, 0.0000, 3.5714], [3.5714, 3.5714, 0.0000]], "species": ["Ca", "Te", "P", "P"], "frac_coords": [[0.0000, 0.0000, 0.0000], [0.7500, 0.7500, 0.7500], [0.2500, 0.2500, 0.2500], [0.5000, 0.5000, 0.5000]], "space_group": "F-43m, No. 216", "energy_ev_per_atom": -3.844, "vol_a3_per_cell": 91, "m_tot_mub_per_cell": 0.000}


{"formula": "CaTeP2", "functional": "GGA-PBE", "state": "optimized geometry", "lattice": [[3.0998, -3.7182, 0.0000], [3.0998, 3.7182, 0.0000], [0.0000, 0.0000, 3.7140]], "species": ["Ca", "Te", "P", "P"], "frac_coords": [[0.0000, 0.0000, 0.0000], [0.5000, 0.5000, 0.0000], [0.0000, 0.5000, 0.5000], [0.5000, 0.0000, 0.5000]], "space_group": "Cmmm, No. 65", "energy_ev_per_atom": -4.145, "vol_a3_per_cell": 86, "m_tot_mub_per_cell": 0.000}


{"formula": "CaTe3P", "functional": "GGA-PBE", "state": "optimized geometry", "lattice": [[5.8499, 0.0000, 0.0000], [0.0000, 5.8499, 0.0000], [0.0000, 0.0000, 5.8499]], "species": ["Ca", "Te", "Te", "Te", "P"], "frac_coords": [[0.0000, 0.0000, 0.0000], [0.0000, 0.0000, 0.5000], [0.0000, 0.5000, 0.0000], [0.5000, 0.0000, 0.0000], [0.5000, 0.5000, 0.5000]], "space_group": "Pm-3m, No. 221", "energy_ev_per_atom": -2.706, "vol_a3_per_cell": 200, "m_tot_mub_per_cell": 1.032, "polymorph_energy_ev_per_atom": 0.918}


{"formula": "CaTeP4", "functional": "GGA-PBE", "state": "optimized geometry", "lattice": [[0.0000, 4.1850, 4.1850], [4.1850, 0.0000, 4.1850], [4.1850, 4.1850, 0.0000]], "species": ["Ca", "Te", "P", "P", "P", "P"], "frac_coords": [[0.0000, 0.0000, 0.0000], [0.2500, 0.2500, 0.2500], [0.2183, 0.5939, 0.5939], [0.5939, 0.2183, 0.5939], [0.5939, 0.5939, 0.2183], [0.5939, 0.5939, 0.5939]], "space_group": "F-43m, No. 216", "energy_ev_per_atom": -4.585, "vol_a3_per_cell": 147, "m_tot_mub_per_cell": 0.000}


{"formula": "CaTeP2", "functional": "GGA-PBE", "state": "optimized geometry", "lattice": [[-1.7076, 2.6960, 4.8262], [1.7076, -2.6960, 4.8262], [1.7076, 2.6960, -4.8262]], "species": ["Ca", "Te", "P", "P"], "frac_coords": [[0.0000, 0.0000, 0.0000], [0.2914, 0.7914, 0.5000], [0.5617, 0.5617, 0.0000], [0.7148, 0.2148, 0.5000]], "space_group": "Imm2, No. 44", "energy_ev_per_atom": -4.359, "vol_a3_per_cell": 89, "m_tot_mub_per_cell": 0.000}


{"formula": "CaTe3P", "functional": "GGA-PBE", "state": "optimized geometry", "lattice": [[5.3157, 0.0000, 0.0000], [0.0000, 5.3157, 0.0000], [0.0000, 0.0000, 5.3157]], "species": ["Ca", "Te", "Te", "Te", "P"], "frac_coords": [[0.0000, 0.0000, 0.0000], [0.0000, 0.5000, 0.5000], [0.5000, 0.0000, 0.5000], [0.5000, 0.5000, 0.0000], [0.5000, 0.5000, 0.5000]], "space_group": "Pm-3m, No. 221", "energy_ev_per_atom": -3.623, "vol_a3_per_cell": 150, "m_tot_mub_per_cell": 0.000, "polymorph_energy_ev_per_atom": 0.000}


{"formula": "CaTeP2", "functional": "GGA-PBE", "state": "optimized geometry", "lattice": [[-1.9233, 2.5807, 4.4451], [1.9233, -2.5807, 4.4451], [1.9233, 2.5807, -4.4451]], "species": ["Ca", "Te", "P", "P"], "frac_coords": [[0.0000, 0.0000, 0.0000], [0.5000, 0.5000, 0.0000], [0.2789, 0.7789, 0.5000], [0.7211, 0.2211, 0.5000]], "space_group": "Immm, No. 71", "energy_ev_per_atom": -4.136, "vol_a3_per_cell": 88, "m_tot_mub_per_cell": 0.000}


{"formula": "Ca2TeP", "functional": "GGA-PBE", "state": "optimized geometry", "lattice": [[3.6574, -2.0838, 0.0000], [3.6574, 2.0838, 0.0000], [-2.3853, 0.0000, 7.4717]], "species": ["Ca", "Ca", "Te", "P"], "frac_coords": [[0.2410, 0.2410, 0.2219], [0.7590, 0.7590, 0.7781], [0.0000, 0.0000, 0.5000], [0.5000, 0.5000, 0.0000]], "space_group": "C2/m, No. 12", "energy_ev_per_atom": -4.278, "vol_a3_per_cell": 114, "m_tot_mub_per_cell": 0.001, "polymorph_energy_ev_per_atom": 0.000}